Th6Sb5Pb | GGA-PBE | relaxed

The formation energy from raw total energies comes out at -0.798 eV per atom.

It has space group C2/m (No. 12), with a = 7.8187 Å, b = 13.5558 Å, c = 7.8394 Å, α = 90.00°, β = 109.45° and γ = 90.00°. Symmetry generates all atoms from Th at (0.2481, 0.0000, 0.2512), Th at (0.2482, 0.1678, 0.7482), Sb at (0.0000, 0.0000, 0.5000), Sb at (0.0000, 0.1669, 0.0000), Sb at (0.0000, 0.3343, 0.5000) and Pb at (0.0000, 0.5000, 0.0000).